## LiWO4 (GGA+U)

Data for an optimized crystal structure of LiWO4.

## Properties
- magnetic moment (μB per cell) = 4.03
- E above lowest polymorph (meV per atom) = 0
- density of states at the Fermi level (states/eV/f.u.) = 1.3

```
data_LiWO4
_space_group_name_H-M_alt 'C 1 c 1'
_space_group_IT_number 9
_cell_length_a 6.376
_cell_length_b 9.376
_cell_length_c 5.679
_cell_angle_alpha 90.00
_cell_angle_beta 124.01
_cell_angle_gamma 90.00
loop_
_space_group_symop_operation_xyz
'x,y,z'
'x,-y,z+1/2'
'x+1/2,y+1/2,z'
'x+1/2,-y+1/2,z+1/2'
loop_
_atom_site_label
_atom_site_type_symbol
_atom_site_fract_x
_atom_site_fract_y
_atom_site_fract_z
Li1 Li 0.000 0.117 0.000
W1 W 0.018 0.379 0.522
O1 O 0.090 0.271 0.283
O2 O 0.147 0.222 0.778
O3 O 0.309 0.477 0.699
O4 O 0.362 0.018 0.188
```